KNaWF6 | Alexandria | PBE with a Hubbard U | optimized geometry; N(E_F) = 0.000 states/eV/atom; calculated total energy = -92.85 eV per cell
1.0
5.8627 0.0000 0.0000
-2.9314 5.0773 0.0000
0.0000 0.0000 11.0032
W K F Na
2 2 12 2
Direct
0.6667 0.3333 0.2500
0.3333 0.6667 0.7500
0.0000 0.0000 0.0000
0.0000 0.0000 0.5000
0.3888 0.0433 0.1457
0.9567 0.3455 0.1457
0.6112 0.6545 0.6457
0.3455 0.9567 0.6457
0.6545 0.6112 0.1457
0.9567 0.6112 0.3543
0.6112 0.9567 0.8543
0.6545 0.0433 0.3543
0.0433 0.6545 0.8543
0.0433 0.3888 0.6457
0.3888 0.3455 0.3543
0.3455 0.3888 0.8543
0.6667 0.3333 0.7500
0.3333 0.6667 0.2500